1.
# YRuNF2, optimized geometry, DFT PBE-GGA
# Excess energy over the best structure of this formula in the dataset (meV/atom): 0
# ΔE_f (raw) (meV/atom): -1000
data_YRuNF2
_chemical_formula_sum 'Y1 Ru1 N1 F2'
_symmetry_space_group_name_H-M 'P 4/m m m'
_symmetry_Int_Tables_number 123
_symmetry_space_group_name_Hall '-P 4 2'
_cell_length_a 4.4070
_cell_length_b 4.4070
_cell_length_c 3.7428
_cell_angle_alpha 90.00
_cell_angle_beta 90.00
_cell_angle_gamma 90.00
loop_
_atom_site_label
_atom_site_fract_x
_atom_site_fract_y
_atom_site_fract_z
Y1 0.0000 0.0000 0.0000
Ru1 0.5000 0.5000 0.5000
N1 0.5000 0.5000 0.0000
F1 0.0000 0.5000 0.5000


2.
# ZnRuN2F, optimized geometry, DFT PBE-GGA
# Excess energy over the best structure of this formula in the dataset (meV/atom): 812
# ΔE_f (raw) (meV/atom): 1210
data_ZnRuN2F
_chemical_formula_sum 'Zn1 Ru1 N2 F1'
_symmetry_space_group_name_H-M 'P 4/m m m'
_symmetry_Int_Tables_number 123
_symmetry_space_group_name_Hall '-P 4 2'
_cell_length_a 3.8889
_cell_length_b 3.8889
_cell_length_c 3.8439
_cell_angle_alpha 90.00
_cell_angle_beta 90.00
_cell_angle_gamma 90.00
loop_
_atom_site_label
_atom_site_fract_x
_atom_site_fract_y
_atom_site_fract_z
Zn1 0.0000 0.0000 0.0000
Ru1 0.5000 0.5000 0.5000
N1 0.0000 0.5000 0.0000
F1 0.0000 0.0000 0.5000


3.
# ZnRuN2F, optimized geometry, DFT PBE-GGA
# Excess energy over the best structure of this formula in the dataset (meV/atom): 0
# ΔE_f (raw) (meV/atom): 398
data_ZnRuN2F
_chemical_formula_sum 'Zn1 Ru1 N2 F1'
_symmetry_space_group_name_H-M 'P 4/m m m'
_symmetry_Int_Tables_number 123
_symmetry_space_group_name_Hall '-P 4 2'
_cell_length_a 3.8391
_cell_length_b 3.8391
_cell_length_c 4.2224
_cell_angle_alpha 90.00
_cell_angle_beta 90.00
_cell_angle_gamma 90.00
loop_
_atom_site_label
_atom_site_fract_x
_atom_site_fract_y
_atom_site_fract_z
Zn1 0.0000 0.0000 0.0000
Ru1 0.5000 0.5000 0.5000
N1 0.0000 0.5000 0.5000
F1 0.5000 0.5000 0.0000


4.
# ZrRuNF2, optimized geometry, DFT PBE-GGA
# Excess energy over the best structure of this formula in the dataset (meV/atom): 465
# ΔE_f (raw) (meV/atom): -410
data_ZrRuNF2
_chemical_formula_sum 'Zr1 Ru1 N1 F2'
_symmetry_space_group_name_H-M 'P 4/m m m'
_symmetry_Int_Tables_number 123
_symmetry_space_group_name_Hall '-P 4 2'
_cell_length_a 4.3139
_cell_length_b 4.3139
_cell_length_c 3.7410
_cell_angle_alpha 90.00
_cell_angle_beta 90.00
_cell_angle_gamma 90.00
loop_
_atom_site_label
_atom_site_fract_x
_atom_site_fract_y
_atom_site_fract_z
Zr1 0.0000 0.0000 0.0000
Ru1 0.5000 0.5000 0.5000
N1 0.5000 0.5000 0.0000
F1 0.0000 0.5000 0.5000


5.
# ZrRuNF2, optimized geometry, DFT PBE-GGA
# Excess energy over the best structure of this formula in the dataset (meV/atom): 0
# ΔE_f (raw) (meV/atom): -875
data_ZrRuNF2
_chemical_formula_sum 'Zr1 Ru1 N1 F2'
_symmetry_space_group_name_H-M 'P 4/m m m'
_symmetry_Int_Tables_number 123
_symmetry_space_group_name_Hall '-P 4 2'
_cell_length_a 4.1782
_cell_length_b 4.1782
_cell_length_c 4.3105
_cell_angle_alpha 90.00
_cell_angle_beta 90.00
_cell_angle_gamma 90.00
loop_
_atom_site_label
_atom_site_fract_x
_atom_site_fract_y
_atom_site_fract_z
Zr1 0.0000 0.0000 0.0000
Ru1 0.5000 0.5000 0.5000
N1 0.0000 0.0000 0.5000
F1 0.0000 0.5000 0.0000


6.
# SbS2NF, optimized geometry, DFT PBE-GGA
# Excess energy over the best structure of this formula in the dataset (meV/atom): 0
# ΔE_f (raw) (meV/atom): 995
data_SbS2NF
_chemical_formula_sum 'Sb1 S2 N1 F1'
_symmetry_space_group_name_H-M 'P 4/m m m'
_symmetry_Int_Tables_number 123
_symmetry_space_group_name_Hall '-P 4 2'
_cell_length_a 5.1013
_cell_length_b 5.1013
_cell_length_c 3.9870
_cell_angle_alpha 90.00
_cell_angle_beta 90.00
_cell_angle_gamma 90.00
loop_
_atom_site_label
_atom_site_fract_x
_atom_site_fract_y
_atom_site_fract_z
Sb1 0.0000 0.0000 0.0000
S1 0.0000 0.5000 0.0000
N1 0.0000 0.0000 0.5000
F1 0.5000 0.5000 0.5000


7.
# SbS2NF, optimized geometry, DFT PBE-GGA
# Excess energy over the best structure of this formula in the dataset (meV/atom): 266
# ΔE_f (raw) (meV/atom): 1262
data_SbS2NF
_chemical_formula_sum 'Sb1 S2 N1 F1'
_symmetry_space_group_name_H-M 'P 4/m m m'
_symmetry_Int_Tables_number 123
_symmetry_space_group_name_Hall '-P 4 2'
_cell_length_a 4.4920
_cell_length_b 4.4920
_cell_length_c 4.0594
_cell_angle_alpha 90.00
_cell_angle_beta 90.00
_cell_angle_gamma 90.00
loop_
_atom_site_label
_atom_site_fract_x
_atom_site_fract_y
_atom_site_fract_z
Sb1 0.0000 0.0000 0.0000
S1 0.0000 0.5000 0.5000
N1 0.5000 0.5000 0.0000
F1 0.5000 0.5000 0.5000


8.
# ScSN2F, optimized geometry, DFT PBE-GGA
# Excess energy over the best structure of this formula in the dataset (meV/atom): 712
# ΔE_f (raw) (meV/atom): 840
data_ScSN2F
_chemical_formula_sum 'Sc1 S1 N2 F1'
_symmetry_space_group_name_H-M 'P 4/m m m'
_symmetry_Int_Tables_number 123
_symmetry_space_group_name_Hall '-P 4 2'
_cell_length_a 4.3058
_cell_length_b 4.3058
_cell_length_c 5.2330
_cell_angle_alpha 90.00
_cell_angle_beta 90.00
_cell_angle_gamma 90.00
loop_
_atom_site_label
_atom_site_fract_x
_atom_site_fract_y
_atom_site_fract_z
Sc1 0.0000 0.0000 0.0000
S1 0.0000 0.0000 0.5000
N1 0.0000 0.5000 0.0000
F1 0.5000 0.5000 0.5000


9.
# ScSN2F, optimized geometry, DFT PBE-GGA
# Excess energy over the best structure of this formula in the dataset (meV/atom): 118
# ΔE_f (raw) (meV/atom): 247
data_ScSN2F
_chemical_formula_sum 'Sc1 S1 N2 F1'
_symmetry_space_group_name_H-M 'P 4/m m m'
_symmetry_Int_Tables_number 123
_symmetry_space_group_name_Hall '-P 4 2'
_cell_length_a 4.2960
_cell_length_b 4.2960
_cell_length_c 3.8717
_cell_angle_alpha 90.00
_cell_angle_beta 90.00
_cell_angle_gamma 90.00
loop_
_atom_site_label
_atom_site_fract_x
_atom_site_fract_y
_atom_site_fract_z
Sc1 0.0000 0.0000 0.0000
S1 0.5000 0.5000 0.5000
N1 0.0000 0.5000 0.0000
F1 0.0000 0.0000 0.5000


10.
# ScSN2F, optimized geometry, DFT PBE-GGA
# Excess energy over the best structure of this formula in the dataset (meV/atom): 922
# ΔE_f (raw) (meV/atom): 1050
data_ScSN2F
_chemical_formula_sum 'Sc1 S1 N2 F1'
_symmetry_space_group_name_H-M 'P 4/m m m'
_symmetry_Int_Tables_number 123
_symmetry_space_group_name_Hall '-P 4 2'
_cell_length_a 3.9553
_cell_length_b 3.9553
_cell_length_c 3.8799
_cell_angle_alpha 90.00
_cell_angle_beta 90.00
_cell_angle_gamma 90.00
loop_
_atom_site_label
_atom_site_fract_x
_atom_site_fract_y
_atom_site_fract_z
Sc1 0.0000 0.0000 0.0000
S1 0.5000 0.5000 0.0000
N1 0.0000 0.5000 0.5000
F1 0.5000 0.5000 0.5000


11.
# ScSN2F, optimized geometry, DFT PBE-GGA
# Excess energy over the best structure of this formula in the dataset (meV/atom): 0
# ΔE_f (raw) (meV/atom): 128
data_ScSN2F
_chemical_formula_sum 'Sc1 S1 N2 F1'
_symmetry_space_group_name_H-M 'P 4/m m m'
_symmetry_Int_Tables_number 123
_symmetry_space_group_name_Hall '-P 4 2'
_cell_length_a 3.7322
_cell_length_b 3.7322
_cell_length_c 3.9139
_cell_angle_alpha 90.00
_cell_angle_beta 90.00
_cell_angle_gamma 90.00
loop_
_atom_site_label
_atom_site_fract_x
_atom_site_fract_y
_atom_site_fract_z
Sc1 0.0000 0.0000 0.0000
S1 0.5000 0.5000 0.5000
N1 0.0000 0.5000 0.5000
F1 0.5000 0.5000 0.0000


12.
# SeSN2F, optimized geometry, DFT PBE-GGA
# Excess energy over the best structure of this formula in the dataset (meV/atom): 0
# ΔE_f (raw) (meV/atom): 1223
data_SeSN2F
_chemical_formula_sum 'Se1 S1 N2 F1'
_symmetry_space_group_name_H-M 'P 4/m m m'
_symmetry_Int_Tables_number 123
_symmetry_space_group_name_Hall '-P 4 2'
_cell_length_a 3.3453
_cell_length_b 3.3453
_cell_length_c 6.4710
_cell_angle_alpha 90.00
_cell_angle_beta 90.00
_cell_angle_gamma 90.00
loop_
_atom_site_label
_atom_site_fract_x
_atom_site_fract_y
_atom_site_fract_z
Se1 0.0000 0.0000 0.0000
S1 0.0000 0.0000 0.5000
N1 0.0000 0.5000 0.5000
F1 0.5000 0.5000 0.0000


13.
# SeSN2F, optimized geometry, DFT PBE-GGA
# Excess energy over the best structure of this formula in the dataset (meV/atom): 174
# ΔE_f (raw) (meV/atom): 1397
data_SeSN2F
_chemical_formula_sum 'Se1 S1 N2 F1'
_symmetry_space_group_name_H-M 'P 4/m m m'
_symmetry_Int_Tables_number 123
_symmetry_space_group_name_Hall '-P 4 2'
_cell_length_a 3.8024
_cell_length_b 3.8024
_cell_length_c 3.9137
_cell_angle_alpha 90.00
_cell_angle_beta 90.00
_cell_angle_gamma 90.00
loop_
_atom_site_label
_atom_site_fract_x
_atom_site_fract_y
_atom_site_fract_z
Se1 0.0000 0.0000 0.0000
S1 0.5000 0.5000 0.5000
N1 0.0000 0.5000 0.5000
F1 0.5000 0.5000 0.0000


14.
# SeSNF2, optimized geometry, DFT PBE-GGA
# Excess energy over the best structure of this formula in the dataset (meV/atom): 0
# ΔE_f (raw) (meV/atom): 434
data_SeSNF2
_chemical_formula_sum 'Se1 S1 N1 F2'
_symmetry_space_group_name_H-M 'P 4/m m m'
_symmetry_Int_Tables_number 123
_symmetry_space_group_name_Hall '-P 4 2'
_cell_length_a 4.7619
_cell_length_b 4.7619
_cell_length_c 3.2607
_cell_angle_alpha 90.00
_cell_angle_beta 90.00
_cell_angle_gamma 90.00
loop_
_atom_site_label
_atom_site_fract_x
_atom_site_fract_y
_atom_site_fract_z
Se1 0.0000 0.0000 0.0000
S1 0.5000 0.5000 0.5000
N1 0.5000 0.5000 0.0000
F1 0.0000 0.5000 0.5000


15.
# Se2SNF, optimized geometry, DFT PBE-GGA
# Excess energy over the best structure of this formula in the dataset (meV/atom): 0
# ΔE_f (raw) (meV/atom): 918
data_Se2SNF
_chemical_formula_sum 'Se2 S1 N1 F1'
_symmetry_space_group_name_H-M 'P 4/m m m'
_symmetry_Int_Tables_number 123
_symmetry_space_group_name_Hall '-P 4 2'
_cell_length_a 5.0396
_cell_length_b 5.0396
_cell_length_c 3.2463
_cell_angle_alpha 90.00
_cell_angle_beta 90.00
_cell_angle_gamma 90.00
loop_
_atom_site_label
_atom_site_fract_x
_atom_site_fract_y
_atom_site_fract_z
Se1 0.0000 0.5000 0.0000
S1 0.0000 0.0000 0.0000
N1 0.0000 0.0000 0.5000
F1 0.5000 0.5000 0.5000


16.
# SeS2NF, optimized geometry, DFT PBE-GGA
# Excess energy over the best structure of this formula in the dataset (meV/atom): 440
# ΔE_f (raw) (meV/atom): 1700
data_SeS2NF
_chemical_formula_sum 'Se1 S2 N1 F1'
_symmetry_space_group_name_H-M 'P 4/m m m'
_symmetry_Int_Tables_number 123
_symmetry_space_group_name_Hall '-P 4 2'
_cell_length_a 4.6335
_cell_length_b 4.6335
_cell_length_c 3.7728
_cell_angle_alpha 90.00
_cell_angle_beta 90.00
_cell_angle_gamma 90.00
loop_
_atom_site_label
_atom_site_fract_x
_atom_site_fract_y
_atom_site_fract_z
Se1 0.0000 0.0000 0.0000
S1 0.0000 0.5000 0.5000
N1 0.5000 0.5000 0.0000
F1 0.5000 0.5000 0.5000


17.
# SeS2NF, optimized geometry, DFT PBE-GGA
# Excess energy over the best structure of this formula in the dataset (meV/atom): 0
# ΔE_f (raw) (meV/atom): 1260
data_SeS2NF
_chemical_formula_sum 'Se1 S2 N1 F1'
_symmetry_space_group_name_H-M 'P 4/m m m'
_symmetry_Int_Tables_number 123
_symmetry_space_group_name_Hall '-P 4 2'
_cell_length_a 4.9727
_cell_length_b 4.9727
_cell_length_c 3.7272
_cell_angle_alpha 90.00
_cell_angle_beta 90.00
_cell_angle_gamma 90.00
loop_
_atom_site_label
_atom_site_fract_x
_atom_site_fract_y
_atom_site_fract_z
Se1 0.0000 0.0000 0.0000
S1 0.0000 0.5000 0.0000
N1 0.0000 0.0000 0.5000
F1 0.5000 0.5000 0.5000


18.
# SeSN2F, optimized geometry, DFT PBE-GGA
# Excess energy over the best structure of this formula in the dataset (meV/atom): 416
# ΔE_f (raw) (meV/atom): 1639
data_SeSN2F
_chemical_formula_sum 'Se1 S1 N2 F1'
_symmetry_space_group_name_H-M 'P 4/m m m'
_symmetry_Int_Tables_number 123
_symmetry_space_group_name_Hall '-P 4 2'
_cell_length_a 3.6062
_cell_length_b 3.6062
_cell_length_c 5.5998
_cell_angle_alpha 90.00
_cell_angle_beta 90.00
_cell_angle_gamma 90.00
loop_
_atom_site_label
_atom_site_fract_x
_atom_site_fract_y
_atom_site_fract_z
Se1 0.0000 0.0000 0.0000
S1 0.0000 0.0000 0.5000
N1 0.0000 0.5000 0.0000
F1 0.5000 0.5000 0.5000


19.
# SeSN2F, optimized geometry, DFT PBE-GGA
# Excess energy over the best structure of this formula in the dataset (meV/atom): 293
# ΔE_f (raw) (meV/atom): 1516
data_SeSN2F
_chemical_formula_sum 'Se1 S1 N2 F1'
_symmetry_space_group_name_H-M 'P 4/m m m'
_symmetry_Int_Tables_number 123
_symmetry_space_group_name_Hall '-P 4 2'
_cell_length_a 3.9862
_cell_length_b 3.9862
_cell_length_c 3.9431
_cell_angle_alpha 90.00
_cell_angle_beta 90.00
_cell_angle_gamma 90.00
loop_
_atom_site_label
_atom_site_fract_x
_atom_site_fract_y
_atom_site_fract_z
Se1 0.0000 0.0000 0.0000
S1 0.5000 0.5000 0.5000
N1 0.0000 0.5000 0.0000
F1 0.0000 0.0000 0.5000


20.
# SeSN2F, optimized geometry, DFT PBE-GGA
# Excess energy over the best structure of this formula in the dataset (meV/atom): 906
# ΔE_f (raw) (meV/atom): 2129
data_SeSN2F
_chemical_formula_sum 'Se1 S1 N2 F1'
_symmetry_space_group_name_H-M 'P 4/m m m'
_symmetry_Int_Tables_number 123
_symmetry_space_group_name_Hall '-P 4 2'
_cell_length_a 3.7245
_cell_length_b 3.7245
_cell_length_c 7.1460
_cell_angle_alpha 90.00
_cell_angle_beta 90.00
_cell_angle_gamma 90.00
loop_
_atom_site_label
_atom_site_fract_x
_atom_site_fract_y
_atom_site_fract_z
Se1 0.0000 0.0000 0.0000
S1 0.5000 0.5000 0.0000
N1 0.0000 0.5000 0.5000
F1 0.0000 0.0000 0.5000